1.
A geometry-optimized CsGaCl structure, computed with PBE.

Computed properties:
Space-group type   C2/m

The structure in CIF format:
```
data_CsGaCl
_chemical_formula_sum 'Cs4 Ga4 Cl4'
_space_group_name_H-M_alt 'P 1'
_space_group_IT_number 1
_space_group_name_Hall 'P 1'
_cell_length_a 17.6814
_cell_length_b 5.4243
_cell_length_c 4.8767
_cell_angle_alpha 90.00
_cell_angle_beta 90.21
_cell_angle_gamma 90.00
loop_
_atom_site_label
_atom_site_type_symbol
_atom_site_fract_x
_atom_site_fract_y
_atom_site_fract_z
_atom_site_occupancy
Cs1 Cs 0.1404 0.0000 0.2543 1
Cs2 Cs 0.3596 0.5000 0.7457 1
Cs3 Cs 0.6404 0.5000 0.2543 1
Cs4 Cs 0.8596 0.0000 0.7457 1
Ga1 Ga 0.0141 0.5000 0.7503 1
Ga2 Ga 0.4859 0.0000 0.2497 1
Ga3 Ga 0.5141 0.0000 0.7503 1
Ga4 Ga 0.9859 0.5000 0.2497 1
Cl1 Cl 0.1572 0.5000 0.7539 1
Cl2 Cl 0.3428 0.0000 0.2461 1
Cl3 Cl 0.6572 0.0000 0.7539 1
Cl4 Cl 0.8428 0.5000 0.2461 1
```


2.
A geometry-optimized BeNbP2O structure, computed with PBE.

Computed properties:
Excess energy over the best structure of this formula in the dataset   0.0 meV/atom
Space-group type   P4/mmm

The structure in CIF format:
```
data_BeNbP2O
_chemical_formula_sum 'Be1 Nb1 P2 O1'
_space_group_name_H-M_alt 'P 1'
_space_group_IT_number 1
_space_group_name_Hall 'P 1'
_cell_length_a 4.9247
_cell_length_b 4.9247
_cell_length_c 2.8204
_cell_angle_alpha 90.00
_cell_angle_beta 90.00
_cell_angle_gamma 90.00
loop_
_atom_site_label
_atom_site_type_symbol
_atom_site_fract_x
_atom_site_fract_y
_atom_site_fract_z
_atom_site_occupancy
Be1 Be 0.0000 0.0000 0.0000 1
Nb1 Nb 0.5000 0.5000 0.5000 1
P1 P 0.0000 0.5000 0.0000 1
P2 P 0.5000 0.0000 0.0000 1
O1 O 0.0000 0.0000 0.5000 1
```


3.
A geometry-optimized LiHo2HgO structure, computed with PBE.

Computed properties:
Space-group type   P4/mmm

The structure in CIF format:
```
data_LiHo2HgO
_chemical_formula_sum 'Li1 Ho2 Hg1 O1'
_space_group_name_H-M_alt 'P 1'
_space_group_IT_number 1
_space_group_name_Hall 'P 1'
_cell_length_a 4.8096
_cell_length_b 4.8096
_cell_length_c 4.0694
_cell_angle_alpha 90.00
_cell_angle_beta 90.00
_cell_angle_gamma 90.00
loop_
_atom_site_label
_atom_site_type_symbol
_atom_site_fract_x
_atom_site_fract_y
_atom_site_fract_z
_atom_site_occupancy
Li1 Li 0.0000 0.0000 0.0000 1
Ho1 Ho 0.0000 0.5000 0.5000 1
Ho2 Ho 0.5000 0.0000 0.5000 1
Hg1 Hg 0.5000 0.5000 0.0000 1
O1 O 0.0000 0.0000 0.5000 1
```


no.,ΔE_f (raw) (meV/atom),density of states at the Fermi level (states/eV per atom)
1,-987,0.0707
2,-300,0.6373
3,-1383,0.8597